Hf2HOF: relaxed, PBE.

Output
For the uncorrected energy, the calculation gives -6.657 eV/atom. Its space group is No. 123. The density of states at the Fermi level is 1.01 states/eV per atom.

Structure (CIF):
```
data_Hf2HOF
_space_group_name_H-M_alt 'P 1'
_space_group_IT_number 1
_cell_length_a 4.181
_cell_length_b 4.282
_cell_length_c 4.181
_cell_angle_alpha 90.00
_cell_angle_beta 90.00
_cell_angle_gamma 90.00
loop_
_space_group_symop_operation_xyz
'x,y,z'
loop_
_atom_site_label
_atom_site_fract_x
_atom_site_fract_y
_atom_site_fract_z
H1 0.000 0.500 0.000
Hf1 0.000 0.000 0.500
Hf2 0.500 0.000 0.000
O1 0.000 0.000 0.000
F1 0.500 0.500 0.500
```

HfHOF2: relaxed, PBE.

Output
For the uncorrected energy, the calculation gives -6.834 eV/atom. Its space group is No. 123. The density of states at the Fermi level is 0.00 states/eV per atom.

Structure (CIF):
```
data_HfHOF2
_space_group_name_H-M_alt 'P 1'
_space_group_IT_number 1
_cell_length_a 4.176
_cell_length_b 4.176
_cell_length_c 3.965
_cell_angle_alpha 90.00
_cell_angle_beta 90.00
_cell_angle_gamma 90.00
loop_
_space_group_symop_operation_xyz
'x,y,z'
loop_
_atom_site_label
_atom_site_fract_x
_atom_site_fract_y
_atom_site_fract_z
H1 0.500 0.500 0.500
Hf1 0.000 0.000 0.000
O1 0.000 0.000 0.500
F1 0.000 0.500 0.000
F2 0.500 0.000 0.000
```